1.
Crystalline MnIr2W at its relaxed geometry. Source: Alexandria, functional PBE-GGA.

CIF file:
```
data_MnIr2W
_cell_length_a 2.737
_cell_length_b 4.322
_cell_length_c 4.757
_cell_angle_alpha 90.00
_cell_angle_beta 90.00
_cell_angle_gamma 90.00
_space_group_name_H-M_alt 'P m m 2'
_space_group_IT_number 25
loop_
_space_group_symop_operation_xyz
'x,y,z'
'-x,-y,z'
'-x,y,z'
'x,-y,z'
loop_
_atom_site_label
_atom_site_type_symbol
_atom_site_fract_x
_atom_site_fract_y
_atom_site_fract_z
Mn1 Mn 0.000 0.000 0.000
Ir1 Ir 0.500 0.000 0.495
Ir2 Ir 0.500 0.500 0.148
W1 W 0.000 0.500 0.670
```

Calculated values
Size of the total moment = 0.00 μB per formula unit
Distance to the lowest polymorph of the same formula = 0.040 eV per atom
Theoretical density = 18.39 g/cm³



2.
Crystalline BaThBr6 at its relaxed geometry. Source: Alexandria, functional PBE-GGA.

CIF file:
```
data_BaThBr6
_cell_length_a 9.602
_cell_length_b 4.537
_cell_length_c 12.656
_cell_angle_alpha 90.00
_cell_angle_beta 90.00
_cell_angle_gamma 90.00
_space_group_name_H-M_alt 'P m m a'
_space_group_IT_number 51
loop_
_space_group_symop_operation_xyz
'x,y,z'
'-x,-y,-z'
'-x+1/2,-y,z'
'x+1/2,y,-z'
'x+1/2,-y,-z'
'-x+1/2,y,z'
'-x,y,-z'
'x,-y,z'
loop_
_atom_site_label
_atom_site_type_symbol
_atom_site_fract_x
_atom_site_fract_y
_atom_site_fract_z
Ba1 Ba 0.250 0.000 0.227
Th1 Th 0.250 0.500 0.779
Br1 Br 0.036 0.500 0.332
Br2 Br 0.074 0.000 0.869
Br3 Br 0.250 0.000 0.621
Br4 Br 0.250 0.500 0.036
```

Calculated values
Size of the total moment = 0.00 μB per formula unit
Distance to the lowest polymorph of the same formula = 0.044 eV per atom
Energy relative to the elements, uncorrected = -1844 meV per atom
Theoretical density = 5.11 g/cm³



3.
Crystalline Hg2IrRuN at its relaxed geometry. Source: Alexandria, functional PBE-GGA.

CIF file:
```
data_Hg2IrRuN
_cell_length_a 5.364
_cell_length_b 5.364
_cell_length_c 4.594
_cell_angle_alpha 90.00
_cell_angle_beta 90.00
_cell_angle_gamma 90.00
_space_group_name_H-M_alt 'P 4/m m m'
_space_group_IT_number 123
_space_group_name_Hall '-P 4 2'
loop_
_atom_site_label
_atom_site_type_symbol
_atom_site_fract_x
_atom_site_fract_y
_atom_site_fract_z
Hg1 Hg 0.000 0.500 0.000
Ir1 Ir 0.000 0.000 0.500
Ru1 Ru 0.000 0.000 0.000
N1 N 0.500 0.500 0.500
```

Calculated values
Size of the total moment = 3.50 μB per formula unit
Energy relative to the elements, uncorrected = 1952 meV per atom
Theoretical density = 8.90 g/cm³



4.
Crystalline UVFe at its relaxed geometry. Source: Alexandria, functional PBE-GGA.

CIF file:
```
data_UVFe
_cell_length_a 8.784
_cell_length_b 4.473
_cell_length_c 4.883
_cell_angle_alpha 90.00
_cell_angle_beta 110.30
_cell_angle_gamma 90.00
_space_group_name_H-M_alt 'C 1 2/m 1'
_space_group_IT_number 12
loop_
_space_group_symop_operation_xyz
'x,y,z'
'-x,-y,-z'
'-x,y,-z'
'x,-y,z'
'x+1/2,y+1/2,z'
'-x+1/2,-y+1/2,-z'
'-x+1/2,y+1/2,-z'
'x+1/2,-y+1/2,z'
loop_
_atom_site_label
_atom_site_type_symbol
_atom_site_fract_x
_atom_site_fract_y
_atom_site_fract_z
U1 U 0.162 0.000 0.158
V1 V 0.044 0.500 0.277
Fe1 Fe 0.135 0.000 0.671
```

Calculated values
Size of the total moment = 0.00 μB per formula unit
Distance to the lowest polymorph of the same formula = 0.013 eV per atom
Theoretical density = 12.73 g/cm³



5.
Crystalline Er2Cu3Ge4Pt at its relaxed geometry. Source: Alexandria, functional PBE-GGA.

CIF file:
```
data_Er2Cu3Ge4Pt
_cell_length_a 4.123
_cell_length_b 4.123
_cell_length_c 10.229
_cell_angle_alpha 90.00
_cell_angle_beta 90.00
_cell_angle_gamma 90.00
_space_group_name_H-M_alt 'P -4 m 2'
_space_group_IT_number 115
loop_
_space_group_symop_operation_xyz
'x,y,z'
'y,-x,-z'
'-x,-y,z'
'-y,x,-z'
'-x,y,z'
'-y,-x,-z'
'x,-y,z'
'y,x,-z'
loop_
_atom_site_label
_atom_site_type_symbol
_atom_site_fract_x
_atom_site_fract_y
_atom_site_fract_z
Er1 Er 0.000 0.500 0.247
Cu1 Cu 0.000 0.000 0.000
Cu2 Cu 0.000 0.500 0.633
Ge1 Ge 0.000 0.000 0.500
Ge2 Ge 0.000 0.500 0.861
Ge3 Ge 0.500 0.500 0.500
Pt1 Pt 0.500 0.500 0.000
```

Calculated values
Size of the total moment = 0.00 μB per formula unit
Theoretical density = 9.65 g/cm³
Calculated total energy = -5.13 eV/atom



6.
Crystalline Li2SbF8 at its relaxed geometry. Source: Alexandria, functional PBE-GGA.

CIF file:
```
data_Li2SbF8
_cell_length_a 8.745
_cell_length_b 6.720
_cell_length_c 5.004
_cell_angle_alpha 90.00
_cell_angle_beta 102.02
_cell_angle_gamma 90.00
_space_group_name_H-M_alt 'C 1 2/m 1'
_space_group_IT_number 12
loop_
_space_group_symop_operation_xyz
'x,y,z'
'-x,-y,-z'
'-x,y,-z'
'x,-y,z'
'x+1/2,y+1/2,z'
'-x+1/2,-y+1/2,-z'
'-x+1/2,y+1/2,-z'
'x+1/2,-y+1/2,z'
loop_
_atom_site_label
_atom_site_type_symbol
_atom_site_fract_x
_atom_site_fract_y
_atom_site_fract_z
Li1 Li 0.144 0.000 0.327
Sb1 Sb 0.000 0.500 0.000
F1 F 0.081 0.000 0.673
F2 F 0.125 0.298 0.211
F3 F 0.140 0.500 0.751
```

Calculated values
Size of the total moment = 1.00 μB per formula unit
Energy relative to the elements, uncorrected = -2325 meV per atom
Theoretical density = 3.32 g/cm³



- Which value of size of the total moment does entry 2 give?
  0.00 μB per formula unit



What did the third record say?
Crystalline Hg2IrRuN at its relaxed geometry. Source: Alexandria, functional PBE-GGA.

CIF file:
```
data_Hg2IrRuN
_cell_length_a 5.364
_cell_length_b 5.364
_cell_length_c 4.594
_cell_angle_alpha 90.00
_cell_angle_beta 90.00
_cell_angle_gamma 90.00
_space_group_name_H-M_alt 'P 4/m m m'
_space_group_IT_number 123
_space_group_name_Hall '-P 4 2'
loop_
_atom_site_label
_atom_site_type_symbol
_atom_site_fract_x
_atom_site_fract_y
_atom_site_fract_z
Hg1 Hg 0.000 0.500 0.000
Ir1 Ir 0.000 0.000 0.500
Ru1 Ru 0.000 0.000 0.000
N1 N 0.500 0.500 0.500
```

Calculated values
Size of the total moment = 3.50 μB per formula unit
Energy relative to the elements, uncorrected = 1952 meV per atom
Theoretical density = 8.90 g/cm³



- Look up the size of the total moment of the second one.
  0.00 μB per formula unit